1.
ThSc3Be | PBE | optimized geometry

Output
density	5.21	g/cm³
space group	No. 221
E	-5.81	eV per atom

Unit cell a=4.930 b=4.930 c=4.930 alpha=90.00 beta=90.00 gamma=90.00
Fractional positions:
1 Be 0.500 0.500 0.500
2 Sc 0.500 0.500 0.000
3 Sc 0.500 0.000 0.500
4 Sc 0.000 0.500 0.500
5 Th 0.000 0.000 0.000



2.
ThScBe | PBE | optimized geometry

Output
density	6.63	g/cm³
space group	No. 216
E	-5.52	eV per atom

Unit cell a=4.662 b=4.662 c=4.662 alpha=60.00 beta=60.00 gamma=60.00
Fractional positions:
1 Sc 0.250 0.250 0.250
2 Th 0.750 0.750 0.750
3 Be 0.000 0.000 0.000



3.
ScUBe | PBE | optimized geometry

Output
density	7.50	g/cm³
space group	No. 216
E	-5.76	eV per atom

Unit cell a=4.504 b=4.504 c=4.504 alpha=60.00 beta=60.00 gamma=60.00
Fractional positions:
1 Be 0.250 0.250 0.250
2 Sc 0.750 0.750 0.750
3 U 0.000 0.000 0.000



4.
ScUBe | PBE | optimized geometry

Output
density	8.08	g/cm³
space group	No. 216
E	-6.37	eV per atom

Unit cell a=4.395 b=4.395 c=4.395 alpha=60.00 beta=60.00 gamma=60.00
Each line ends with the local moment (μB).
Fractional positions:
1 Be 0.000 0.000 0.000  -0.05
2 U 0.750 0.750 0.750  2.10
3 Sc 0.250 0.250 0.250  0.30



5.
ScBe2W | PBE | optimized geometry

Output
density	7.22	g/cm³
space group	No. 216
E	-6.01	eV per atom

Unit cell a=4.313 b=4.313 c=4.313 alpha=60.00 beta=60.00 gamma=60.00
Fractional positions:
1 W 0.500 0.500 0.500
2 Sc 0.250 0.250 0.250
3 Be 0.000 0.000 0.000
4 Be 0.750 0.750 0.750



6.
ScBeW2 | PBE | optimized geometry

Output
density	11.21	g/cm³
space group	No. 216
E	-8.81	eV per atom

Unit cell a=4.454 b=4.454 c=4.454 alpha=60.00 beta=60.00 gamma=60.00
Fractional positions:
1 W 0.000 0.000 0.000
2 W 0.750 0.750 0.750
3 Be 0.500 0.500 0.500
4 Sc 0.250 0.250 0.250